# 1
DFT (GGA-PBE) results for AcLu3Ir after structural relaxation.

**Fermi-level density of states**: 4.6 states/eV per cell
**DFT total energy**: -5.702 eV/atom
**V**: 31.49 Å³/atom
**Energy relative to the elements**: -0.40 eV per atom

```
data_AcLu3Ir
_chemical_formula_sum 'Ac1 Lu3 Ir1'
_cell_length_a 5.400
_cell_length_b 5.400
_cell_length_c 5.400
_cell_angle_alpha 90.00
_cell_angle_beta 90.00
_cell_angle_gamma 90.00
_space_group_name_H-M_alt 'P m -3 m'
_space_group_IT_number 221
_space_group_name_Hall '-P 4 2 3'
loop_
_atom_site_label
_atom_site_type_symbol
_atom_site_fract_x
_atom_site_fract_y
_atom_site_fract_z
Ac1 Ac 0.000 0.000 0.000
Lu1 Lu 0.000 0.500 0.500
Ir1 Ir 0.500 0.500 0.500
```

---

# 2
DFT (GGA-PBE) results for Co2AgSe after structural relaxation.

**Fermi-level density of states**: 10.6 states/eV per cell
**DFT total energy**: -4.777 eV/atom
**V**: 14.56 Å³/atom

```
data_Co2AgSe
_chemical_formula_sum 'Co6 Ag3 Se3'
_cell_length_a 2.9418
_cell_length_b 2.9418
_cell_length_c 23.3159
_cell_angle_alpha 90.00
_cell_angle_beta 90.00
_cell_angle_gamma 120.00
_space_group_name_H-M_alt 'R -3 m'
_space_group_IT_number 166
_space_group_name_Hall '-R 3 2"'
loop_
_atom_site_label
_atom_site_type_symbol
_atom_site_fract_x
_atom_site_fract_y
_atom_site_fract_z
Co1 Co 0.0000 0.0000 0.2404
Ag1 Ag 0.0000 0.0000 0.0000
Se1 Se 0.0000 0.0000 0.5000
```

---

# 3
DFT (GGA-PBE) results for SmTh5Os4 after structural relaxation.

**Fermi-level density of states**: 14.5 states/eV per cell
**DFT total energy**: -8.860 eV/atom
**V**: 27.45 Å³/atom
**Energy relative to the elements**: -0.19 eV per atom

```
data_SmTh5Os4
_chemical_formula_sum 'Sm2 Th10 Os8'
_cell_length_a 17.367
_cell_length_b 4.559
_cell_length_c 7.316
_cell_angle_alpha 90.00
_cell_angle_beta 108.62
_cell_angle_gamma 90.00
_space_group_name_H-M_alt 'C 1 2/m 1'
_space_group_IT_number 12
_space_group_name_Hall '-C 2y'
loop_
_atom_site_label
_atom_site_type_symbol
_atom_site_fract_x
_atom_site_fract_y
_atom_site_fract_z
Sm1 Sm 0.000 0.000 0.000
Th1 Th 0.000 0.000 0.500
Th2 Th 0.162 0.500 0.450
Th3 Th 0.167 0.500 0.961
Os1 Os 0.012 0.500 0.709
Os2 Os 0.197 0.000 0.221
```

---

# 4
DFT (GGA-PBE) results for PmSm2I after structural relaxation.

**Energy above the lowest structure with this stoichiometry**: 26 meV per atom
**Fermi-level density of states**: 18.7 states/eV per cell
**DFT total energy**: -4.298 eV/atom
**V**: 33.85 Å³/atom

```
data_PmSm2I
_chemical_formula_sum 'Pm3 Sm6 I3'
_cell_length_a 3.8203
_cell_length_b 3.8203
_cell_length_c 32.1378
_cell_angle_alpha 90.00
_cell_angle_beta 90.00
_cell_angle_gamma 120.00
_space_group_name_H-M_alt 'R 3 m'
_space_group_IT_number 160
_space_group_name_Hall 'R 3 -2"'
loop_
_atom_site_label
_atom_site_type_symbol
_atom_site_fract_x
_atom_site_fract_y
_atom_site_fract_z
Pm1 Pm 0.0000 0.0000 0.0000
Sm1 Sm 0.0000 0.0000 0.5780
Sm2 Sm 0.0000 0.0000 0.7560
I1 I 0.0000 0.0000 0.1668
```

---

# 5
DFT (GGA-PBE) results for Tl2TcAs after structural relaxation.

**Energy above the lowest structure with this stoichiometry**: 669 meV per atom
**Fermi-level density of states**: 6.1 states/eV per cell
**DFT total energy**: -4.155 eV/atom
**V**: 22.80 Å³/atom
**Energy relative to the elements**: 0.78 eV per atom

```
data_Tl2TcAs
_chemical_formula_sum 'Tl4 Tc2 As2'
_cell_length_a 4.200
_cell_length_b 4.200
_cell_length_c 10.338
_cell_angle_alpha 90.00
_cell_angle_beta 90.00
_cell_angle_gamma 90.00
_space_group_name_H-M_alt 'I 4/m m m'
_space_group_IT_number 139
_space_group_name_Hall '-I 4 2'
loop_
_atom_site_label
_atom_site_type_symbol
_atom_site_fract_x
_atom_site_fract_y
_atom_site_fract_z
Tl1 Tl 0.000 0.500 0.250
Tc1 Tc 0.000 0.000 0.000
As1 As 0.000 0.000 0.500
```

---

# 6
DFT (GGA-PBE) results for BaZn2Pt2 after structural relaxation.

**Energy above the lowest structure with this stoichiometry**: 74 meV per atom
**Fermi-level density of states**: 2.6 states/eV per cell
**DFT total energy**: -3.872 eV/atom
**V**: 21.18 Å³/atom
**Energy relative to the elements**: -0.56 eV per atom

```
data_BaZn2Pt2
_chemical_formula_sum 'Ba2 Zn4 Pt4'
_cell_length_a 4.495
_cell_length_b 4.495
_cell_length_c 10.483
_cell_angle_alpha 90.00
_cell_angle_beta 90.00
_cell_angle_gamma 90.00
_space_group_name_H-M_alt 'I 4/m m m'
_space_group_IT_number 139
_space_group_name_Hall '-I 4 2'
loop_
_atom_site_label
_atom_site_type_symbol
_atom_site_fract_x
_atom_site_fract_y
_atom_site_fract_z
Ba1 Ba 0.000 0.000 0.000
Zn1 Zn 0.000 0.000 0.372
Pt1 Pt 0.000 0.500 0.250
```

---

# 7
DFT (GGA-PBE) results for Mn2TlIn after structural relaxation.

**Energy above the lowest structure with this stoichiometry**: 6 meV per atom
**Fermi-level density of states**: 3.3 states/eV per cell
**DFT total energy**: -5.463 eV/atom
**V**: 18.65 Å³/atom
**Energy relative to the elements**: 0.40 eV per atom

```
data_Mn2TlIn
_chemical_formula_sum 'Mn2 Tl1 In1'
_cell_length_a 3.045
_cell_length_b 3.994
_cell_length_c 6.135
_cell_angle_alpha 90.00
_cell_angle_beta 90.00
_cell_angle_gamma 90.00
_space_group_name_H-M_alt 'P m m m'
_space_group_IT_number 47
_space_group_name_Hall '-P 2 2'
loop_
_atom_site_label
_atom_site_type_symbol
_atom_site_fract_x
_atom_site_fract_y
_atom_site_fract_z
Mn1 Mn 0.000 0.000 0.238
Tl1 Tl 0.500 0.500 0.500
In1 In 0.500 0.500 0.000
```

---

# 8
DFT (GGA-PBE) results for UFeS2 after structural relaxation.

**Fermi-level density of states**: 22.3 states/eV per cell
**DFT total energy**: -7.509 eV/atom
**V**: 24.96 Å³/atom

```
data_UFeS2
_chemical_formula_sum 'U3 Fe3 S6'
_cell_length_a 4.0218
_cell_length_b 4.0218
_cell_length_c 21.3787
_cell_angle_alpha 90.00
_cell_angle_beta 90.00
_cell_angle_gamma 120.00
_space_group_name_H-M_alt 'R -3 m'
_space_group_IT_number 166
_space_group_name_Hall '-R 3 2"'
loop_
_atom_site_label
_atom_site_type_symbol
_atom_site_fract_x
_atom_site_fract_y
_atom_site_fract_z
U1 U 0.0000 0.0000 0.0000
Fe1 Fe 0.0000 0.0000 0.5000
S1 S 0.0000 0.0000 0.3992
```

---

# 9
DFT (GGA-PBE) results for Hf2ZnCrI after structural relaxation.

**Fermi-level density of states**: 5.5 states/eV per cell
**DFT total energy**: -4.929 eV/atom
**V**: 27.44 Å³/atom

```
data_Hf2ZnCrI
_chemical_formula_sum 'Hf2 Zn1 Cr1 I1'
_cell_length_a 5.213
_cell_length_b 5.213
_cell_length_c 5.049
_cell_angle_alpha 90.00
_cell_angle_beta 90.00
_cell_angle_gamma 90.00
_space_group_name_H-M_alt 'P 4/m m m'
_space_group_IT_number 123
_space_group_name_Hall '-P 4 2'
loop_
_atom_site_label
_atom_site_type_symbol
_atom_site_fract_x
_atom_site_fract_y
_atom_site_fract_z
Hf1 Hf 0.000 0.500 0.000
Zn1 Zn 0.000 0.000 0.500
Cr1 Cr 0.500 0.500 0.500
I1 I 0.000 0.000 0.000
```

---

# 10
DFT (GGA-PBE) results for Co2Pt after structural relaxation.

**Fermi-level density of states**: 10.9 states/eV per cell
**DFT total energy**: -6.807 eV/atom
**V**: 12.66 Å³/atom
**Energy relative to the elements**: -0.06 eV per atom

```
data_Co2Pt
_chemical_formula_sum 'Co8 Pt4'
_cell_length_a 9.358
_cell_length_b 2.675
_cell_length_c 6.371
_cell_angle_alpha 90.00
_cell_angle_beta 107.63
_cell_angle_gamma 90.00
_space_group_name_H-M_alt 'C 1 2/m 1'
_space_group_IT_number 12
_space_group_name_Hall '-C 2y'
loop_
_atom_site_label
_atom_site_type_symbol
_atom_site_fract_x
_atom_site_fract_y
_atom_site_fract_z
Co1 Co 0.034 0.000 0.266
Co2 Co 0.140 0.500 0.024
Pt1 Pt 0.176 0.500 0.632
```

---

# 11
DFT (GGA-PBE) results for Ca2HfThN4 after structural relaxation.

**DFT total energy**: -8.278 eV/atom
**V**: 15.04 Å³/atom

```
data_Ca2HfThN4
_chemical_formula_sum 'Ca2 Hf1 Th1 N4'
_cell_length_a 6.047
_cell_length_b 3.482
_cell_length_c 6.056
_cell_angle_alpha 90.00
_cell_angle_beta 109.36
_cell_angle_gamma 90.00
_space_group_name_H-M_alt 'P 1 2/m 1'
_space_group_IT_number 10
_space_group_name_Hall '-P 2y'
loop_
_atom_site_label
_atom_site_type_symbol
_atom_site_fract_x
_atom_site_fract_y
_atom_site_fract_z
Ca1 Ca 0.000 0.000 0.000
Ca2 Ca 0.000 0.500 0.500
Hf1 Hf 0.500 0.000 0.500
Th1 Th 0.500 0.500 0.000
N1 N 0.282 0.000 0.737
N2 N 0.283 0.500 0.275
```

---

# 12
DFT (GGA-PBE) results for Zr2OsBr after structural relaxation.

**Energy above the lowest structure with this stoichiometry**: 628 meV per atom
**Fermi-level density of states**: 6.3 states/eV per cell
**DFT total energy**: -7.364 eV/atom
**V**: 19.42 Å³/atom

```
data_Zr2OsBr
_chemical_formula_sum 'Zr4 Os2 Br2'
_cell_length_a 3.892
_cell_length_b 3.892
_cell_length_c 10.259
_cell_angle_alpha 90.00
_cell_angle_beta 90.00
_cell_angle_gamma 90.00
_space_group_name_H-M_alt 'I -4 m 2'
_space_group_IT_number 119
_space_group_name_Hall 'I -4 -2'
loop_
_atom_site_label
_atom_site_type_symbol
_atom_site_fract_x
_atom_site_fract_y
_atom_site_fract_z
Zr1 Zr 0.000 0.000 0.000
Zr2 Zr 0.000 0.500 0.250
Os1 Os 0.000 0.000 0.500
Br1 Br 0.000 0.500 0.750
```

---

# 13
DFT (GGA-PBE) results for NaFe2Os2 after structural relaxation.

**Energy above the lowest structure with this stoichiometry**: 24 meV per atom
**Fermi-level density of states**: 11.3 states/eV per cell
**DFT total energy**: -7.699 eV/atom
**V**: 14.09 Å³/atom
**Energy relative to the elements**: 0.44 eV per atom

```
data_NaFe2Os2
_chemical_formula_sum 'Na2 Fe4 Os4'
_cell_length_a 7.384
_cell_length_b 7.384
_cell_length_c 2.584
_cell_angle_alpha 90.00
_cell_angle_beta 90.00
_cell_angle_gamma 90.00
_space_group_name_H-M_alt 'P 4/m b m'
_space_group_IT_number 127
_space_group_name_Hall '-P 4 2ab'
loop_
_atom_site_label
_atom_site_type_symbol
_atom_site_fract_x
_atom_site_fract_y
_atom_site_fract_z
Na1 Na 0.000 0.000 0.000
Fe1 Fe 0.120 0.380 0.000
Os1 Os 0.167 0.667 0.500
```

---

# 14
DFT (GGA-PBE) results for VHg3Cl after structural relaxation.

**Energy above the lowest structure with this stoichiometry**: 623 meV per atom
**Fermi-level density of states**: 8.6 states/eV per cell
**DFT total energy**: -1.448 eV/atom
**V**: 35.42 Å³/atom

```
data_VHg3Cl
_chemical_formula_sum 'V1 Hg3 Cl1'
_cell_length_a 5.616
_cell_length_b 5.616
_cell_length_c 5.616
_cell_angle_alpha 90.00
_cell_angle_beta 90.00
_cell_angle_gamma 90.00
_space_group_name_H-M_alt 'P m -3 m'
_space_group_IT_number 221
_space_group_name_Hall '-P 4 2 3'
loop_
_atom_site_label
_atom_site_type_symbol
_atom_site_fract_x
_atom_site_fract_y
_atom_site_fract_z
V1 V 0.000 0.000 0.000
Hg1 Hg 0.000 0.500 0.500
Cl1 Cl 0.500 0.500 0.500
```

---

# 15
DFT (GGA-PBE) results for Hg2SbPt after structural relaxation.

**Fermi-level density of states**: 3.6 states/eV per cell
**DFT total energy**: -2.466 eV/atom
**V**: 22.59 Å³/atom

```
data_Hg2SbPt
_chemical_formula_sum 'Hg6 Sb3 Pt3'
_cell_length_a 3.3721
_cell_length_b 3.3721
_cell_length_c 27.5218
_cell_angle_alpha 90.00
_cell_angle_beta 90.00
_cell_angle_gamma 120.00
_space_group_name_H-M_alt 'R -3 m'
_space_group_IT_number 166
_space_group_name_Hall '-R 3 2"'
loop_
_atom_site_label
_atom_site_type_symbol
_atom_site_fract_x
_atom_site_fract_y
_atom_site_fract_z
Hg1 Hg 0.0000 0.0000 0.2407
Sb1 Sb 0.0000 0.0000 0.0000
Pt1 Pt 0.0000 0.0000 0.5000
```

---

# 16
DFT (GGA-PBE) results for ScPdNF2 after structural relaxation.

**Energy above the lowest structure with this stoichiometry**: 733 meV per atom
**Fermi-level density of states**: 2.4 states/eV per cell
**DFT total energy**: -5.336 eV/atom
**V**: 13.87 Å³/atom

```
data_ScPdNF2
_chemical_formula_sum 'Sc1 Pd1 N1 F2'
_cell_length_a 4.109
_cell_length_b 4.109
_cell_length_c 4.108
_cell_angle_alpha 90.00
_cell_angle_beta 90.00
_cell_angle_gamma 90.00
_space_group_name_H-M_alt 'P 4/m m m'
_space_group_IT_number 123
_space_group_name_Hall '-P 4 2'
loop_
_atom_site_label
_atom_site_type_symbol
_atom_site_fract_x
_atom_site_fract_y
_atom_site_fract_z
Sc1 Sc 0.000 0.000 0.000
Pd1 Pd 0.500 0.500 0.500
N1 N 0.500 0.500 0.000
F1 F 0.000 0.500 0.500
```

---

# 17
DFT (GGA-PBE) results for BaBiSe after structural relaxation.

**Fermi-level density of states**: 2.3 states/eV per cell
**DFT total energy**: -4.273 eV/atom
**V**: 37.64 Å³/atom

```
data_BaBiSe
_chemical_formula_sum 'Ba2 Bi2 Se2'
_cell_length_a 4.729
_cell_length_b 4.541
_cell_length_c 10.534
_cell_angle_alpha 90.00
_cell_angle_beta 93.38
_cell_angle_gamma 90.00
_space_group_name_H-M_alt 'P 1 21/m 1'
_space_group_IT_number 11
_space_group_name_Hall '-P 2yb'
loop_
_atom_site_label
_atom_site_type_symbol
_atom_site_fract_x
_atom_site_fract_y
_atom_site_fract_z
Ba1 Ba 0.221 0.250 0.334
Bi1 Bi 0.197 0.250 0.957
Se1 Se 0.276 0.250 0.648
```

---

# 18
DFT (GGA-PBE) results for Nd3Dy6Er2Tl after structural relaxation.

**Fermi-level density of states**: 33.6 states/eV per cell
**DFT total energy**: -4.459 eV/atom
**V**: 31.42 Å³/atom
**Energy relative to the elements**: -0.01 eV per atom

```
data_Nd3Dy6Er2Tl
_chemical_formula_sum 'Nd6 Dy12 Er4 Tl2'
_cell_length_a 6.160
_cell_length_b 10.671
_cell_length_c 11.655
_cell_angle_alpha 90.00
_cell_angle_beta 100.19
_cell_angle_gamma 90.00
_space_group_name_H-M_alt 'C 1 2/m 1'
_space_group_IT_number 12
_space_group_name_Hall '-C 2y'
loop_
_atom_site_label
_atom_site_type_symbol
_atom_site_fract_x
_atom_site_fract_y
_atom_site_fract_z
Nd1 Nd 0.000 0.000 0.000
Nd2 Nd 0.000 0.333 0.000
Dy1 Dy 0.244 0.336 0.743
Dy2 Dy 0.248 0.500 0.256
Er1 Er 0.000 0.166 0.500
Tl1 Tl 0.000 0.500 0.500
```

---

# 19
DFT (GGA-PBE) results for Y6Er3Tm2Zr after structural relaxation.

**Fermi-level density of states**: 32.7 states/eV per cell
**DFT total energy**: -5.780 eV/atom
**V**: 30.43 Å³/atom
**Energy relative to the elements**: 0.05 eV per atom

```
data_Y6Er3Tm2Zr
_chemical_formula_sum 'Y12 Er6 Tm4 Zr2'
_cell_length_a 6.076
_cell_length_b 10.505
_cell_length_c 11.616
_cell_angle_alpha 90.00
_cell_angle_beta 99.97
_cell_angle_gamma 90.00
_space_group_name_H-M_alt 'C 1 2/m 1'
_space_group_IT_number 12
_space_group_name_Hall '-C 2y'
loop_
_atom_site_label
_atom_site_type_symbol
_atom_site_fract_x
_atom_site_fract_y
_atom_site_fract_z
Y1 Y 0.245 0.164 0.245
Y2 Y 0.246 0.000 0.756
Er1 Er 0.000 0.167 0.500
Er2 Er 0.000 0.500 0.500
Tm1 Tm 0.000 0.333 0.000
Zr1 Zr 0.000 0.000 0.000
```

---

# 20
DFT (GGA-PBE) results for TlTeIr2 after structural relaxation.

**Energy above the lowest structure with this stoichiometry**: 126 meV per atom
**Fermi-level density of states**: 3.2 states/eV per cell
**DFT total energy**: -5.297 eV/atom
**V**: 20.01 Å³/atom

```
data_TlTeIr2
_chemical_formula_sum 'Tl1 Te1 Ir2'
_cell_length_a 3.153
_cell_length_b 3.833
_cell_length_c 6.623
_cell_angle_alpha 90.00
_cell_angle_beta 90.00
_cell_angle_gamma 90.00
_space_group_name_H-M_alt 'P m m m'
_space_group_IT_number 47
_space_group_name_Hall '-P 2 2'
loop_
_atom_site_label
_atom_site_type_symbol
_atom_site_fract_x
_atom_site_fract_y
_atom_site_fract_z
Tl1 Tl 0.000 0.000 0.000
Te1 Te 0.500 0.000 0.500
Ir1 Ir 0.500 0.500 0.212
```